PBE Ac2ZnSn5, optimized geometry; formation energy = -0.44 eV/atom; total energy = -4.1294 eV/atom; crystal system = tetragonal; symmetry = I4mm
1.0
-3.4230 3.4230 4.9989
3.4230 -3.4230 4.9989
3.4230 3.4230 -4.9989
Ac Zn Sn
2 1 5
direct
0.0000 0.5000 0.5000 Ac
0.5000 0.0000 0.5000 Ac
0.4301 0.4301 0.0000 Zn
0.0452 0.0452 0.0000 Sn
0.5060 0.5060 0.5094 Sn
0.5060 0.9965 0.0000 Sn
0.9965 0.5060 0.0000 Sn
0.9965 0.9965 0.4906 Sn